1.
# SCAN TlGeIrCl2, single point on PBEsol structure
data_TlGeIrCl2
_chemical_formula_sum 'Tl1 Ge1 Ir1 Cl2'
_cell_length_a 5.1231
_cell_length_b 5.1231
_cell_length_c 4.7495
_cell_angle_alpha 90.00
_cell_angle_beta 90.00
_cell_angle_gamma 90.00
_symmetry_space_group_name_H-M 'P 4/m m m'
_symmetry_Int_Tables_number 123
_symmetry_space_group_name_Hall '-P 4 2'
loop_
_atom_site_label
_atom_site_type_symbol
_atom_site_fract_x
_atom_site_fract_y
_atom_site_fract_z
_atom_site_occupancy
Tl1 Tl 0.0000 0.0000 0.0000 1
Ge1 Ge 0.5000 0.5000 0.5000 1
Ir1 Ir 0.5000 0.5000 0.0000 1
Cl1 Cl 0.0000 0.5000 0.5000 1
# * E: -177.804 eV for the cell shown
# * mass density: 7.2 g/cm3
# * raw formation energy: 0.14 eV per atom
# * V: 124.7 Å³/cell

***

2.
# SCAN ReSiP2, single point on PBEsol structure
data_ReSiP2
_chemical_formula_sum 'Re1 Si1 P2'
_cell_length_a 3.0071
_cell_length_b 3.0071
_cell_length_c 6.4976
_cell_angle_alpha 90.00
_cell_angle_beta 90.00
_cell_angle_gamma 90.00
_symmetry_space_group_name_H-M 'P 4 m m'
_symmetry_Int_Tables_number 99
loop_
_symmetry_equiv_pos_as_xyz
'x,y,z'
'-y,x,z'
'-x,-y,z'
'y,-x,z'
'-x,y,z'
'y,x,z'
'x,-y,z'
'-y,-x,z'
loop_
_atom_site_label
_atom_site_type_symbol
_atom_site_fract_x
_atom_site_fract_y
_atom_site_fract_z
_atom_site_occupancy
Re1 Re 0.0000 0.0000 0.0000 1
Si1 Si 0.5000 0.5000 0.2275 1
P1 P 0.0000 0.0000 0.4058 1
P2 P 0.5000 0.5000 0.7916 1
# * E: -101.270 eV for the cell shown
# * mass density: 7.8 g/cm3
# * raw formation energy: 0.16 eV per atom
# * V: 58.8 Å³/cell

***

3.
# SCAN MnSi2Ru, single point on PBEsol structure
data_MnSi2Ru
_chemical_formula_sum 'Mn1 Si2 Ru1'
_cell_length_a 4.0322
_cell_length_b 4.0322
_cell_length_c 2.8389
_cell_angle_alpha 90.00
_cell_angle_beta 90.00
_cell_angle_gamma 90.00
_symmetry_space_group_name_H-M 'P 4/m m m'
_symmetry_Int_Tables_number 123
_symmetry_space_group_name_Hall '-P 4 2'
loop_
_atom_site_label
_atom_site_type_symbol
_atom_site_fract_x
_atom_site_fract_y
_atom_site_fract_z
_atom_site_occupancy
Mn1 Mn 0.0000 0.0000 0.0000 1
Si1 Si 0.0000 0.5000 0.5000 1
Ru1 Ru 0.5000 0.5000 0.0000 1
# * E: -75.267 eV for the cell shown
# * mass density: 7.6 g/cm3
# * raw formation energy: -0.54 eV per atom
# * V: 46.2 Å³/cell

***

4.
# SCAN Sc2CuTcAs, single point on PBEsol structure
data_Sc2CuTcAs
_chemical_formula_sum 'Sc2 Cu1 Tc1 As1'
_cell_length_a 4.7916
_cell_length_b 4.7916
_cell_length_c 4.1637
_cell_angle_alpha 90.00
_cell_angle_beta 90.00
_cell_angle_gamma 90.00
_symmetry_space_group_name_H-M 'P 4/m m m'
_symmetry_Int_Tables_number 123
_symmetry_space_group_name_Hall '-P 4 2'
loop_
_atom_site_label
_atom_site_type_symbol
_atom_site_fract_x
_atom_site_fract_y
_atom_site_fract_z
_atom_site_occupancy
Sc1 Sc 0.0000 0.5000 0.0000 1
Cu1 Cu 0.0000 0.0000 0.0000 1
Tc1 Tc 0.5000 0.5000 0.5000 1
As1 As 0.0000 0.0000 0.5000 1
# * E: -96.597 eV for the cell shown
# * mass density: 5.7 g/cm3
# * E_form: 0.4655 eV per atom
# * V: 95.6 Å³/cell

***

5.
# SCAN CsHfAs2Br, single point on PBEsol structure
data_CsHfAs2Br
_chemical_formula_sum 'Cs1 Hf1 As2 Br1'
_cell_length_a 5.1149
_cell_length_b 5.1149
_cell_length_c 5.6721
_cell_angle_alpha 90.00
_cell_angle_beta 90.00
_cell_angle_gamma 90.00
_symmetry_space_group_name_H-M 'P 4/m m m'
_symmetry_Int_Tables_number 123
_symmetry_space_group_name_Hall '-P 4 2'
loop_
_atom_site_label
_atom_site_type_symbol
_atom_site_fract_x
_atom_site_fract_y
_atom_site_fract_z
_atom_site_occupancy
Cs1 Cs 0.0000 0.0000 0.0000 1
Hf1 Hf 0.5000 0.5000 0.5000 1
As1 As 0.0000 0.5000 0.5000 1
Br1 Br 0.5000 0.5000 0.0000 1
# * E: -164.133 eV for the cell shown
# * mass density: 6.1 g/cm3
# * raw formation energy: -0.76 eV per atom
# * V: 148.4 Å³/cell

***

6.
# SCAN Be3P2H4O10, single point on PBEsol structure
data_Be3P2H4O10
_chemical_formula_sum 'Be12 P8 H16 O40'
_cell_length_a 15.9859
_cell_length_b 4.5676
_cell_length_c 9.5276
_cell_angle_alpha 90.00
_cell_angle_beta 94.21
_cell_angle_gamma 90.00
_symmetry_space_group_name_H-M 'C 1 2/c 1'
_symmetry_Int_Tables_number 15
loop_
_symmetry_equiv_pos_as_xyz
'x,y,z'
'-x,-y,-z'
'-x,y,-z+1/2'
'x,-y,z+1/2'
'x+1/2,y+1/2,z'
'-x+1/2,-y+1/2,-z'
'-x+1/2,y+1/2,-z+1/2'
'x+1/2,-y+1/2,z+1/2'
loop_
_atom_site_label
_atom_site_type_symbol
_atom_site_fract_x
_atom_site_fract_y
_atom_site_fract_z
_atom_site_occupancy
Be1 Be 0.0000 0.1932 0.2500 1
Be2 Be 0.2477 0.0464 0.1573 1
P1 P 0.1545 0.0408 0.3964 1
H1 H 0.0657 0.3927 0.6897 1
H2 H 0.0948 0.3278 0.0971 1
O1 O 0.0479 0.4190 0.1470 1
O2 O 0.0657 0.0220 0.8338 1
O3 O 0.1664 0.0877 0.0460 1
O4 O 0.1764 0.3655 0.3959 1
O5 O 0.2182 0.1188 0.8008 1
# * E: -611.302 eV for the cell shown
# * mass density: 2.4 g/cm3
# * V: 693.8 Å³/cell

***

7.
# SCAN La3Sc, single point on PBEsol structure
data_La3Sc
_chemical_formula_sum 'La6 Sc2'
_cell_length_a 7.1451
_cell_length_b 7.1451
_cell_length_c 5.7136
_cell_angle_alpha 90.00
_cell_angle_beta 90.00
_cell_angle_gamma 120.00
_symmetry_space_group_name_H-M 'P 63/m m c'
_symmetry_Int_Tables_number 194
_symmetry_space_group_name_Hall '-P 6c 2c'
loop_
_atom_site_label
_atom_site_type_symbol
_atom_site_fract_x
_atom_site_fract_y
_atom_site_fract_z
_atom_site_occupancy
La1 La 0.1715 0.3429 0.2500 1
Sc1 Sc 0.3333 0.6667 0.7500 1
# * E: -286.718 eV for the cell shown
# * mass density: 6.1 g/cm3
# * E_form: 0.0482 eV per atom
# * V: 252.6 Å³/cell

***

8.
# SCAN CsBaBe2N, single point on PBEsol structure
data_CsBaBe2N
_chemical_formula_sum 'Cs1 Ba1 Be2 N1'
_cell_length_a 4.2268
_cell_length_b 4.2268
_cell_length_c 5.8127
_cell_angle_alpha 90.00
_cell_angle_beta 90.00
_cell_angle_gamma 90.00
_symmetry_space_group_name_H-M 'P 4/m m m'
_symmetry_Int_Tables_number 123
_symmetry_space_group_name_Hall '-P 4 2'
loop_
_atom_site_label
_atom_site_type_symbol
_atom_site_fract_x
_atom_site_fract_y
_atom_site_fract_z
_atom_site_occupancy
Cs1 Cs 0.0000 0.0000 0.0000 1
Ba1 Ba 0.5000 0.5000 0.0000 1
Be1 Be 0.0000 0.5000 0.5000 1
N1 N 0.0000 0.0000 0.5000 1
# * E: -89.720 eV for the cell shown
# * mass density: 4.8 g/cm3
# * raw formation energy: 1.13 eV per atom
# * V: 103.8 Å³/cell

***

9.
# SCAN Tl2SbBr, single point on PBEsol structure
data_Tl2SbBr
_chemical_formula_sum 'Tl6 Sb3 Br3'
_cell_length_a 3.6932
_cell_length_b 3.6932
_cell_length_c 29.7114
_cell_angle_alpha 90.00
_cell_angle_beta 90.00
_cell_angle_gamma 120.00
_symmetry_space_group_name_H-M 'R -3 m'
_symmetry_Int_Tables_number 166
_symmetry_space_group_name_Hall '-R 3 2"'
loop_
_atom_site_label
_atom_site_type_symbol
_atom_site_fract_x
_atom_site_fract_y
_atom_site_fract_z
_atom_site_occupancy
Tl1 Tl 0.0000 0.0000 0.2452 1
Sb1 Sb 0.0000 0.0000 0.0000 1
Br1 Br 0.0000 0.0000 0.5000 1
# * E: -606.260 eV for the cell shown
# * mass density: 8.7 g/cm3
# * raw formation energy: -0.16 eV per atom
# * V: 351.0 Å³/cell
# * relative energy among the computed polymorphs: 134 meV per atom

***

10.
# SCAN Y4SbMo, single point on PBEsol structure
data_Y4SbMo
_chemical_formula_sum 'Y16 Sb4 Mo4'
_cell_length_a 8.4301
_cell_length_b 8.4301
_cell_length_c 8.4301
_cell_angle_alpha 90.00
_cell_angle_beta 90.00
_cell_angle_gamma 90.00
_symmetry_space_group_name_H-M 'F -4 3 m'
_symmetry_Int_Tables_number 216
_symmetry_space_group_name_Hall 'F -4 2 3'
loop_
_atom_site_label
_atom_site_type_symbol
_atom_site_fract_x
_atom_site_fract_y
_atom_site_fract_z
_atom_site_occupancy
Y1 Y 0.1232 0.1232 0.1232 1
Sb1 Sb 0.0000 0.0000 0.5000 1
Mo1 Mo 0.2500 0.2500 0.7500 1
# * E: -718.181 eV for the cell shown
# * mass density: 6.4 g/cm3
# * raw formation energy: 0.66 eV per atom
# * V: 599.1 Å³/cell

***

11.
# SCAN PdRhPb4, single point on PBEsol structure
data_PdRhPb4
_chemical_formula_sum 'Pd2 Rh2 Pb8'
_cell_length_a 6.7611
_cell_length_b 6.7611
_cell_length_c 5.7831
_cell_angle_alpha 90.00
_cell_angle_beta 90.00
_cell_angle_gamma 90.00
_symmetry_space_group_name_H-M 'I 4 2 2'
_symmetry_Int_Tables_number 97
_symmetry_space_group_name_Hall 'I 4 2'
loop_
_atom_site_label
_atom_site_type_symbol
_atom_site_fract_x
_atom_site_fract_y
_atom_site_fract_z
_atom_site_occupancy
Pd1 Pd 0.0000 0.0000 0.0000 1
Rh1 Rh 0.0000 0.0000 0.5000 1
Pb1 Pb 0.1633 0.3367 0.7500 1
# * E: -740.728 eV for the cell shown
# * mass density: 13.0 g/cm3
# * E_form: -0.1156 eV per atom
# * V: 264.4 Å³/cell

***

12.
# SCAN LiPb2, single point on PBEsol structure
data_LiPb2
_chemical_formula_sum 'Li4 Pb8'
_cell_length_a 11.8931
_cell_length_b 3.5091
_cell_length_c 7.5682
_cell_angle_alpha 90.00
_cell_angle_beta 101.70
_cell_angle_gamma 90.00
_symmetry_space_group_name_H-M 'C 1 m 1'
_symmetry_Int_Tables_number 8
loop_
_symmetry_equiv_pos_as_xyz
'x,y,z'
'x,-y,z'
'x+1/2,y+1/2,z'
'x+1/2,-y+1/2,z'
loop_
_atom_site_label
_atom_site_type_symbol
_atom_site_fract_x
_atom_site_fract_y
_atom_site_fract_z
_atom_site_occupancy
Li1 Li 0.0000 0.0000 0.0000 1
Li2 Li 0.2001 0.5000 0.3645 1
Pb1 Pb 0.1273 0.5000 0.7582 1
Pb2 Pb 0.2920 0.0000 0.0956 1
Pb3 Pb 0.3473 0.0000 0.6694 1
Pb4 Pb 0.4876 0.5000 0.3927 1
# * E: -618.122 eV for the cell shown
# * mass density: 9.0 g/cm3
# * E_form: -0.1928 eV per atom
# * V: 309.3 Å³/cell
# * relative energy among the computed polymorphs: 41 meV per atom

***

13.
# SCAN ScBe3Ir, single point on PBEsol structure
data_ScBe3Ir
_chemical_formula_sum 'Sc1 Be3 Ir1'
_cell_length_a 4.1662
_cell_length_b 4.1662
_cell_length_c 4.1662
_cell_angle_alpha 90.00
_cell_angle_beta 90.00
_cell_angle_gamma 90.00
_symmetry_space_group_name_H-M 'P m -3 m'
_symmetry_Int_Tables_number 221
_symmetry_space_group_name_Hall '-P 4 2 3'
loop_
_atom_site_label
_atom_site_type_symbol
_atom_site_fract_x
_atom_site_fract_y
_atom_site_fract_z
_atom_site_occupancy
Sc1 Sc 0.0000 0.0000 0.0000 1
Be1 Be 0.0000 0.5000 0.5000 1
Ir1 Ir 0.5000 0.5000 0.5000 1
# * E: -99.807 eV for the cell shown
# * mass density: 6.1 g/cm3
# * E_form: -0.2820 eV per atom
# * V: 72.3 Å³/cell